The following is a PBE calculation of Cs2CaBeBr6 after structural relaxation, from the Alexandria database. Values from VASP.

## Properties
* final energy: -0.240 Ry per atom
* density of states at the Fermi level: 0.0000 states/eV per atom
* space group: I4/mmm, No. 139
* theoretical density: 4.06 g cm⁻³
* formation energy (no corrections): -1513 meV/atom

Cell and atoms, written as Quantum ESPRESSO input:
```
&SYSTEM
  ibrav = 0, nat = 10, ntyp = 4
/
ATOMIC_SPECIES
Cs 132.91 Cs.upf
Be 9.01 Be.upf
Ca 40.08 Ca.upf
Br 79.90 Br.upf
CELL_PARAMETERS angstrom
7.576 0.000 0.000
0.000 7.576 0.000
3.788 3.788 5.658
ATOMIC_POSITIONS crystal
Cs 0.750 0.250 0.500
Cs 0.250 0.750 0.500
Be 0.500 0.500 0.000
Ca 0.000 0.000 0.000
Br 0.253 0.253 0.494
Br 0.747 0.747 0.506
Br 0.274 0.274 0.000
Br 0.726 0.726 0.000
Br 0.726 0.274 0.000
Br 0.274 0.726 0.000
```